# 1
# CeEr5Bi4 (GGA-PBE, relaxed)
# **Volume**: 33.2 Å³/atom
# **E_tot**: -4.932 eV/atom
# **D(E_F)**: 13.0 states/eV per cell
# **Calculated formation energy**: -0.5049 eV/atom
data_CeEr5Bi4
_chemical_formula_sum 'Ce1 Er5 Bi4'
_cell_length_a 10.196
_cell_length_b 10.196
_cell_length_c 7.723
_cell_angle_alpha 101.40
_cell_angle_beta 101.40
_cell_angle_gamma 24.95
_symmetry_space_group_name_H-M 'P 1'
_symmetry_Int_Tables_number 1
loop_
_symmetry_equiv_pos_as_xyz
'x,y,z'
loop_
_atom_site_label
_atom_site_fract_x
_atom_site_fract_y
_atom_site_fract_z
_atom_site_occupancy
Ce1 0.000 0.000 0.000 1
Er1 0.000 0.000 0.500 1
Er2 0.303 0.303 0.388 1
Er3 0.310 0.310 0.914 1
Er4 0.690 0.690 0.086 1
Er5 0.697 0.697 0.612 1
Bi1 0.137 0.137 0.327 1
Bi2 0.436 0.436 0.227 1
Bi3 0.564 0.564 0.773 1
Bi4 0.863 0.863 0.673 1

# 2
# CeErBi2 (GGA-PBE, relaxed)
# **Volume**: 29.4 Å³/atom
# **E_tot**: -5.176 eV/atom
# **D(E_F)**: 6.9 states/eV per cell
# **Calculated formation energy**: -0.6114 eV/atom
data_CeErBi2
_chemical_formula_sum 'Ce1 Er1 Bi2'
_cell_length_a 5.865
_cell_length_b 5.865
_cell_length_c 3.416
_cell_angle_alpha 90.00
_cell_angle_beta 90.00
_cell_angle_gamma 90.00
_symmetry_space_group_name_H-M 'P 1'
_symmetry_Int_Tables_number 1
loop_
_symmetry_equiv_pos_as_xyz
'x,y,z'
loop_
_atom_site_label
_atom_site_fract_x
_atom_site_fract_y
_atom_site_fract_z
_atom_site_occupancy
Ce1 0.000 0.000 0.000 1
Er1 0.500 0.500 0.000 1
Bi1 0.000 0.500 0.500 1
Bi2 0.500 0.000 0.500 1